[1]
Crystalline Li3Ac2MgIn4 at its relaxed geometry, computed with PBE-GGA.

Output
ΔE_f ... -0.324 eV/atom
Crystal system ... tetragonal

abc: 4.816 4.816 11.290
angles: 90.00 90.00 90.00
Space group P-4m2 (No. 115)
Unique sites:
Li 0.000 0.000 0.000 x1
Li 0.000 0.500 0.622 x2
Ac 0.000 0.500 0.252 x2
Mg 0.500 0.500 0.000 x1
In 0.000 0.000 0.500 x1
In 0.000 0.500 0.859 x2
In 0.500 0.500 0.500 x1

[2]
Crystalline BeTl2Au at its relaxed geometry, computed with PBE-GGA.

Output
ΔE_f ... 0.240 eV/atom
Crystal system ... orthorhombic

abc: 3.269 5.449 10.136
angles: 90.00 90.00 90.00
Space group Imm2 (No. 44)
Unique sites:
Be 0.000 0.000 0.000 x2
Tl 0.000 0.000 0.548 x2
Tl 0.000 0.500 0.741 x2
Au 0.000 0.500 0.347 x2

[3]
Crystalline TbNd2Er5Tm at its relaxed geometry, computed with PBE-GGA.

Output
ΔE_f ... 0.276 eV/atom
Crystal system ... tetragonal

abc: 8.585 8.585 15.592
angles: 90.00 90.00 90.00
Space group I4/mcm (No. 140)
Unique sites:
Tb 0.000 0.000 0.250 x4
Nd 0.118 0.382 0.000 x8
Er 0.000 0.000 0.000 x4
Er 0.213 0.287 0.359 x16
Tm 0.000 0.500 0.250 x4

[4]
Crystalline Rb2CaSnS4 at its relaxed geometry, computed with PBE-GGA.

Output
Crystal system ... orthorhombic

abc: 8.290 8.781 11.965
angles: 90.00 90.00 90.00
Space group Imma (No. 74)
Unique sites:
Rb 0.000 0.000 0.000 x4
Rb 0.250 0.250 0.250 x4
Ca 0.000 0.000 0.500 x4
Sn 0.250 0.250 0.750 x4
S 0.000 0.046 0.740 x8
S 0.226 0.250 0.534 x8

[5]
Crystalline CaPu3Ni8 at its relaxed geometry, computed with PBE-GGA.

Output
ΔE_f ... -0.228 eV/atom
Crystal system ... trigonal

abc: 5.0556 5.0556 24.7350
angles: 90.00 90.00 120.00
Space group R3m (No. 160, hexagonal axes)
Unique sites:
Ca 0.0000 0.0000 0.0000 x3
Pu 0.0000 0.0000 0.3778 x3
Pu 0.0000 0.0000 0.5016 x3
Pu 0.0000 0.0000 0.8737 x3
Ni 0.0000 0.0000 0.1885 x3
Ni 0.0000 0.0000 0.6883 x3
Ni 0.0003 0.5002 0.9380 x9
Ni 0.0008 0.5004 0.4384 x9

[6]
Crystalline Pm4Sn3S at its relaxed geometry, computed with PBE-GGA.

Output
Crystal system ... orthorhombic

abc: 9.155 12.404 4.204
angles: 90.00 90.00 90.00
Space group Cmmm (No. 65)
Unique sites:
Pm 0.000 0.240 0.000 x4
Pm 0.229 0.000 0.500 x4
Sn 0.000 0.500 0.000 x2
Sn 0.250 0.250 0.500 x4
S 0.000 0.000 0.000 x2

[7]
Crystalline ThPaP2N6 at its relaxed geometry, computed with PBE-GGA.

Output
Crystal system ... monoclinic

abc: 10.206 9.751 5.394
angles: 90.00 102.49 90.00
Space group C2/c (No. 15)
Unique sites:
Th 0.000 0.166 0.250 x4
Pa 0.000 0.404 0.750 x4
P 0.212 0.091 0.760 x8
N 0.127 0.228 0.666 x8
N 0.127 0.392 0.170 x8
N 0.155 0.024 0.012 x8

[8]
Crystalline CdCoTe2 at its relaxed geometry, computed with PBE-GGA.

Output
Crystal system ... orthorhombic

abc: 3.116 3.371 19.407
angles: 90.00 90.00 90.00
Space group Imm2 (No. 44)
Unique sites:
Cd 0.000 0.000 0.000 x2
Co 0.000 0.500 0.732 x2
Te 0.000 0.000 0.338 x2
Te 0.000 0.500 0.168 x2

Number 1: VASP energy -2.975 eV per atom. Number 2: VASP energy -2.694 eV per atom. Number 3: VASP energy -4.330 eV per atom. Number 4: VASP energy -4.138 eV per atom. Number 5: VASP energy -7.832 eV per atom. Number 6: VASP energy -5.347 eV per atom. Number 7: VASP energy -8.775 eV per atom. Number 8: VASP energy -3.485 eV per atom.